Record 1
# Be2ZnInC (PBE-GGA, relaxed)
# total magnetic moment: 0.688 Bohr magnetons per cell
# VASP energy: -2.3305 eV/atom
# energy of formation: 1.81 eV/atom
data_Be2ZnInC
_chemical_formula_sum 'Be2 Zn1 In1 C1'
_cell_length_a 4.1692
_cell_length_b 4.1692
_cell_length_c 5.2410
_cell_angle_alpha 90.00
_cell_angle_beta 90.00
_cell_angle_gamma 90.00
_symmetry_space_group_name_H-M 'P 4/m m m'
_symmetry_Int_Tables_number 123
_symmetry_space_group_name_Hall '-P 4 2'
loop_
_atom_site_label
_atom_site_type_symbol
_atom_site_fract_x
_atom_site_fract_y
_atom_site_fract_z
Be1 Be 0.0000 0.5000 0.0000
Zn1 Zn 0.0000 0.0000 0.0000
In1 In 0.0000 0.0000 0.5000
C1 C 0.5000 0.5000 0.5000

***

Record 2
# TaNiMoPt2 (PBE-GGA, relaxed)
# total magnetic moment: 3.332 Bohr magnetons per cell
# VASP energy: -6.8285 eV/atom
# energy of formation: 1.28 eV/atom
data_TaNiMoPt2
_chemical_formula_sum 'Ta1 Ni1 Mo1 Pt2'
_cell_length_a 4.8488
_cell_length_b 4.8488
_cell_length_c 4.4824
_cell_angle_alpha 90.00
_cell_angle_beta 90.00
_cell_angle_gamma 90.00
_symmetry_space_group_name_H-M 'P 4/m m m'
_symmetry_Int_Tables_number 123
_symmetry_space_group_name_Hall '-P 4 2'
loop_
_atom_site_label
_atom_site_type_symbol
_atom_site_fract_x
_atom_site_fract_y
_atom_site_fract_z
Ta1 Ta 0.0000 0.0000 0.0000
Ni1 Ni 0.0000 0.0000 0.5000
Mo1 Mo 0.5000 0.5000 0.5000
Pt1 Pt 0.0000 0.5000 0.0000

***

Record 3
# NaSrInI4 (PBE-GGA, relaxed)
# total magnetic moment: 0.000 Bohr magnetons per cell
# VASP energy: -2.8965 eV/atom
# energy relative to the elements, uncorrected: -1191 meV/atom
data_NaSrInI4
_chemical_formula_sum 'Na4 Sr4 In4 I16'
_cell_length_a 9.8673
_cell_length_b 9.8732
_cell_length_c 14.1365
_cell_angle_alpha 90.00
_cell_angle_beta 90.00
_cell_angle_gamma 90.00
_symmetry_space_group_name_H-M 'I m m a'
_symmetry_Int_Tables_number 74
_symmetry_space_group_name_Hall '-I 2b 2'
loop_
_atom_site_label
_atom_site_type_symbol
_atom_site_fract_x
_atom_site_fract_y
_atom_site_fract_z
Na1 Na 0.2500 0.2500 0.2500
Sr1 Sr 0.0000 0.0000 0.0000
In1 In 0.0000 0.2500 0.6373
I1 I 0.0000 0.0300 0.2323
I2 I 0.2260 0.2500 0.0112

***

Record 4
# La2SmHoBi5 (PBE-GGA, relaxed)
# total magnetic moment: 0.000 Bohr magnetons per cell
# VASP energy: -4.5635 eV/atom
# energy of formation: -0.28 eV/atom
data_La2SmHoBi5
_chemical_formula_sum 'La2 Sm1 Ho1 Bi5'
_cell_length_a 5.4349
_cell_length_b 5.4349
_cell_length_c 12.0475
_cell_angle_alpha 90.00
_cell_angle_beta 90.00
_cell_angle_gamma 90.00
_symmetry_space_group_name_H-M 'P 4/m m m'
_symmetry_Int_Tables_number 123
_symmetry_space_group_name_Hall '-P 4 2'
loop_
_atom_site_label
_atom_site_type_symbol
_atom_site_fract_x
_atom_site_fract_y
_atom_site_fract_z
La1 La 0.0000 0.0000 0.2218
Sm1 Sm 0.5000 0.5000 0.5000
Ho1 Ho 0.5000 0.5000 0.0000
Bi1 Bi 0.0000 0.0000 0.5000
Bi2 Bi 0.0000 0.5000 0.0000
Bi3 Bi 0.5000 0.5000 0.2513

***

Record 5
# ErZn2Ni5 (PBE-GGA, relaxed)
# total magnetic moment: 0.000 Bohr magnetons per cell
# VASP energy: -4.6747 eV/atom
# energy of formation: -0.17 eV/atom
data_ErZn2Ni5
_chemical_formula_sum 'Er2 Zn4 Ni10'
_cell_length_a 3.6380
_cell_length_b 6.3063
_cell_length_c 9.9024
_cell_angle_alpha 90.00
_cell_angle_beta 90.00
_cell_angle_gamma 90.00
_symmetry_space_group_name_H-M 'I m m m'
_symmetry_Int_Tables_number 71
_symmetry_space_group_name_Hall '-I 2 2'
loop_
_atom_site_label
_atom_site_type_symbol
_atom_site_fract_x
_atom_site_fract_y
_atom_site_fract_z
Er1 Er 0.0000 0.0000 0.0000
Zn1 Zn 0.0000 0.5000 0.2412
Ni1 Ni 0.0000 0.1936 0.3763
Ni2 Ni 0.0000 0.5000 0.0000

***

Record 6
# Ba8Mg2Ag (PBE-GGA, relaxed)
# total magnetic moment: 0.000 Bohr magnetons per cell
# VASP energy: -1.9784 eV/atom
# energy of formation: -0.03 eV/atom
# ΔE to the lowest computed polymorph: 0.000 eV/atom
data_Ba8Mg2Ag
_chemical_formula_sum 'Ba16 Mg4 Ag2'
_cell_length_a 21.7233
_cell_length_b 6.2122
_cell_length_c 8.3697
_cell_angle_alpha 90.00
_cell_angle_beta 107.20
_cell_angle_gamma 90.00
_symmetry_space_group_name_H-M 'C 1 2/m 1'
_symmetry_Int_Tables_number 12
loop_
_symmetry_equiv_pos_as_xyz
'x,y,z'
'-x,-y,-z'
'-x,y,-z'
'x,-y,z'
'x+1/2,y+1/2,z'
'-x+1/2,-y+1/2,-z'
'-x+1/2,y+1/2,-z'
'x+1/2,-y+1/2,z'
loop_
_atom_site_label
_atom_site_type_symbol
_atom_site_fract_x
_atom_site_fract_y
_atom_site_fract_z
Ba1 Ba 0.0259 0.0000 0.2929
Ba2 Ba 0.0931 0.5000 0.9291
Ba3 Ba 0.1564 0.5000 0.4641
Ba4 Ba 0.2074 0.0000 0.8017
Mg1 Mg 0.1828 0.0000 0.2159
Ag1 Ag 0.0000 0.5000 0.5000

***

Record 7
# Ce2HgF (PBE-GGA, relaxed)
# total magnetic moment: 2.449 Bohr magnetons per cell
# VASP energy: -4.5549 eV/atom
# energy relative to the elements, uncorrected: -1045 meV/atom
# ΔE to the lowest computed polymorph: 0.168 eV/atom
data_Ce2HgF
_chemical_formula_sum 'Ce2 Hg1 F1'
_cell_length_a 3.2119
_cell_length_b 3.2119
_cell_length_c 8.3172
_cell_angle_alpha 90.00
_cell_angle_beta 90.00
_cell_angle_gamma 90.00
_symmetry_space_group_name_H-M 'P 4/m m m'
_symmetry_Int_Tables_number 123
_symmetry_space_group_name_Hall '-P 4 2'
loop_
_atom_site_label
_atom_site_type_symbol
_atom_site_fract_x
_atom_site_fract_y
_atom_site_fract_z
Ce1 Ce 0.0000 0.0000 0.2173
Hg1 Hg 0.5000 0.5000 0.5000
F1 F 0.5000 0.5000 0.0000

***

Record 8
# BeTe3 (PBE-GGA, relaxed)
# total magnetic moment: 0.000 Bohr magnetons per cell
# VASP energy: -3.0591 eV/atom
# energy relative to the elements, uncorrected: 229 meV/atom
# ΔE to the lowest computed polymorph: 0.201 eV/atom
data_BeTe3
_chemical_formula_sum 'Be2 Te6'
_cell_length_a 8.3842
_cell_length_b 8.3842
_cell_length_c 3.5805
_cell_angle_alpha 90.00
_cell_angle_beta 90.00
_cell_angle_gamma 120.00
_symmetry_space_group_name_H-M 'P 63/m m c'
_symmetry_Int_Tables_number 194
_symmetry_space_group_name_Hall '-P 6c 2c'
loop_
_atom_site_label
_atom_site_type_symbol
_atom_site_fract_x
_atom_site_fract_y
_atom_site_fract_z
Be1 Be 0.3333 0.6667 0.2500
Te1 Te 0.2017 0.4034 0.7500